Entry 1:
VASP calculation (SCAN) on a PBEsol-optimized structure of Rb2NaHg2.

CIF file:
```
data_Rb2NaHg2
_chemical_formula_sum 'Rb4 Na2 Hg4'
_cell_length_a 8.539
_cell_length_b 8.539
_cell_length_c 5.363
_cell_angle_alpha 90.00
_cell_angle_beta 90.00
_cell_angle_gamma 90.00
_symmetry_space_group_name_H-M 'P 4/m b m'
_symmetry_Int_Tables_number 127
_symmetry_space_group_name_Hall '-P 4 2ab'
loop_
_atom_site_label
_atom_site_type_symbol
_atom_site_fract_x
_atom_site_fract_y
_atom_site_fract_z
Rb1 Rb 0.176 0.324 0.000
Na1 Na 0.000 0.000 0.500
Hg1 Hg 0.123 0.623 0.500
```

Values from the calculation:
size of the total moment = 0.000 μB/f.u.
DFT formation energy = -250 meV/atom

=====

Entry 2:
VASP calculation (SCAN) on a PBEsol-optimized structure of Na2HgRhS.

CIF file:
```
data_Na2HgRhS
_chemical_formula_sum 'Na2 Hg1 Rh1 S1'
_cell_length_a 5.219
_cell_length_b 5.219
_cell_length_c 4.971
_cell_angle_alpha 90.00
_cell_angle_beta 90.00
_cell_angle_gamma 90.00
_symmetry_space_group_name_H-M 'P 4/m m m'
_symmetry_Int_Tables_number 123
_symmetry_space_group_name_Hall '-P 4 2'
loop_
_atom_site_label
_atom_site_type_symbol
_atom_site_fract_x
_atom_site_fract_y
_atom_site_fract_z
Na1 Na 0.000 0.500 0.000
Hg1 Hg 0.000 0.000 0.000
Rh1 Rh 0.000 0.000 0.500
S1 S 0.500 0.500 0.500
```

Values from the calculation:
DFT total energy = -117.93 eV per cell
size of the total moment = 1.417 μB/f.u.

=====

Entry 3:
VASP calculation (SCAN) on a PBEsol-optimized structure of NaHg2RhW.

CIF file:
```
data_NaHg2RhW
_chemical_formula_sum 'Na1 Hg2 Rh1 W1'
_cell_length_a 5.180
_cell_length_b 5.180
_cell_length_c 4.703
_cell_angle_alpha 90.00
_cell_angle_beta 90.00
_cell_angle_gamma 90.00
_symmetry_space_group_name_H-M 'P 4/m m m'
_symmetry_Int_Tables_number 123
_symmetry_space_group_name_Hall '-P 4 2'
loop_
_atom_site_label
_atom_site_type_symbol
_atom_site_fract_x
_atom_site_fract_y
_atom_site_fract_z
Na1 Na 0.000 0.000 0.000
Hg1 Hg 0.000 0.500 0.500
Rh1 Rh 0.500 0.500 0.500
W1 W 0.500 0.500 0.000
```

Values from the calculation:
size of the total moment = 2.479 μB/f.u.
DFT formation energy = 769 meV/atom

=====

Entry 4:
VASP calculation (SCAN) on a PBEsol-optimized structure of NaHg3S.

CIF file:
```
data_NaHg3S
_chemical_formula_sum 'Na1 Hg3 S1'
_cell_length_a 5.317
_cell_length_b 5.317
_cell_length_c 5.317
_cell_angle_alpha 90.00
_cell_angle_beta 90.00
_cell_angle_gamma 90.00
_symmetry_space_group_name_H-M 'P m -3 m'
_symmetry_Int_Tables_number 221
_symmetry_space_group_name_Hall '-P 4 2 3'
loop_
_atom_site_label
_atom_site_type_symbol
_atom_site_fract_x
_atom_site_fract_y
_atom_site_fract_z
Na1 Na 0.000 0.000 0.000
Hg1 Hg 0.000 0.500 0.500
S1 S 0.500 0.500 0.500
```

Values from the calculation:
DFT total energy = -217.35 eV per cell
size of the total moment = 0.000 μB/f.u.

=====

Entry 5:
VASP calculation (SCAN) on a PBEsol-optimized structure of NaHg2S2.

CIF file:
```
data_NaHg2S2
_chemical_formula_sum 'Na2 Hg4 S4'
_cell_length_a 4.967
_cell_length_b 4.967
_cell_length_c 9.457
_cell_angle_alpha 90.00
_cell_angle_beta 90.00
_cell_angle_gamma 90.00
_symmetry_space_group_name_H-M 'I 4/m m m'
_symmetry_Int_Tables_number 139
_symmetry_space_group_name_Hall '-I 4 2'
loop_
_atom_site_label
_atom_site_type_symbol
_atom_site_fract_x
_atom_site_fract_y
_atom_site_fract_z
Na1 Na 0.000 0.000 0.000
Hg1 Hg 0.000 0.000 0.357
S1 S 0.000 0.500 0.250
```

Values from the calculation:
DFT total energy = -321.52 eV per cell
size of the total moment = 0.000 μB/f.u.

=====

Entry 6:
VASP calculation (SCAN) on a PBEsol-optimized structure of NaHg3S.

CIF file:
```
data_NaHg3S
_chemical_formula_sum 'Na1 Hg3 S1'
_cell_length_a 5.384
_cell_length_b 5.384
_cell_length_c 5.384
_cell_angle_alpha 90.00
_cell_angle_beta 90.00
_cell_angle_gamma 90.00
_symmetry_space_group_name_H-M 'P m -3 m'
_symmetry_Int_Tables_number 221
_symmetry_space_group_name_Hall '-P 4 2 3'
loop_
_atom_site_label
_atom_site_type_symbol
_atom_site_fract_x
_atom_site_fract_y
_atom_site_fract_z
Na1 Na 0.000 0.000 0.000
Hg1 Hg 0.000 0.000 0.500
S1 S 0.500 0.500 0.500
```

Values from the calculation:
DFT total energy = -216.42 eV per cell
size of the total moment = 1.053 μB/f.u.

=====

Entry 7:
VASP calculation (SCAN) on a PBEsol-optimized structure of NaHgSb.

CIF file:
```
data_NaHgSb
_chemical_formula_sum 'Na2 Hg2 Sb2'
_cell_length_a 4.7848
_cell_length_b 4.7848
_cell_length_c 7.7055
_cell_angle_alpha 90.00
_cell_angle_beta 90.00
_cell_angle_gamma 120.00
_symmetry_space_group_name_H-M 'P 63 m c'
_symmetry_Int_Tables_number 186
_symmetry_space_group_name_Hall 'P 6c -2c'
loop_
_atom_site_label
_atom_site_type_symbol
_atom_site_fract_x
_atom_site_fract_y
_atom_site_fract_z
Na1 Na 0.0000 0.0000 0.0000
Hg1 Hg 0.3333 0.6667 0.1815
Sb1 Sb 0.3333 0.6667 0.7904
```

Values from the calculation:
DFT total energy = -221.55 eV per cell
size of the total moment = 0.000 μB/f.u.

=====

Entry 8:
VASP calculation (SCAN) on a PBEsol-optimized structure of NaTcHg2Sb.

CIF file:
```
data_NaTcHg2Sb
_chemical_formula_sum 'Na1 Tc1 Hg2 Sb1'
_cell_length_a 5.291
_cell_length_b 5.291
_cell_length_c 4.958
_cell_angle_alpha 90.00
_cell_angle_beta 90.00
_cell_angle_gamma 90.00
_symmetry_space_group_name_H-M 'P 4/m m m'
_symmetry_Int_Tables_number 123
_symmetry_space_group_name_Hall '-P 4 2'
loop_
_atom_site_label
_atom_site_type_symbol
_atom_site_fract_x
_atom_site_fract_y
_atom_site_fract_z
Na1 Na 0.000 0.000 0.000
Tc1 Tc 0.500 0.500 0.500
Hg1 Hg 0.000 0.500 0.500
Sb1 Sb 0.500 0.500 0.000
```

Values from the calculation:
DFT total energy = -212.19 eV per cell
size of the total moment = 0.000 μB/f.u.

=====

Entry 9:
VASP calculation (SCAN) on a PBEsol-optimized structure of NaHgSbTe2.

CIF file:
```
data_NaHgSbTe2
_chemical_formula_sum 'Na1 Hg1 Sb1 Te2'
_cell_length_a 5.718
_cell_length_b 5.718
_cell_length_c 5.409
_cell_angle_alpha 90.00
_cell_angle_beta 90.00
_cell_angle_gamma 90.00
_symmetry_space_group_name_H-M 'P 4/m m m'
_symmetry_Int_Tables_number 123
_symmetry_space_group_name_Hall '-P 4 2'
loop_
_atom_site_label
_atom_site_type_symbol
_atom_site_fract_x
_atom_site_fract_y
_atom_site_fract_z
Na1 Na 0.000 0.000 0.000
Hg1 Hg 0.500 0.500 0.500
Sb1 Sb 0.500 0.500 0.000
Te1 Te 0.000 0.500 0.500
```

Values from the calculation:
DFT total energy = -182.90 eV per cell
size of the total moment = 0.002 μB/f.u.

=====

Entry 10:
VASP calculation (SCAN) on a PBEsol-optimized structure of Na3ScHg.

CIF file:
```
data_Na3ScHg
_chemical_formula_sum 'Na3 Sc1 Hg1'
_cell_length_a 6.268
_cell_length_b 6.268
_cell_length_c 6.268
_cell_angle_alpha 90.00
_cell_angle_beta 90.00
_cell_angle_gamma 90.00
_symmetry_space_group_name_H-M 'P m -3 m'
_symmetry_Int_Tables_number 221
_symmetry_space_group_name_Hall '-P 4 2 3'
loop_
_atom_site_label
_atom_site_type_symbol
_atom_site_fract_x
_atom_site_fract_y
_atom_site_fract_z
Na1 Na 0.000 0.000 0.500
Sc1 Sc 0.000 0.000 0.000
Hg1 Hg 0.500 0.500 0.500
```

Values from the calculation:
size of the total moment = 1.836 μB/f.u.
DFT formation energy = 831 meV/atom

=====

Entry 11:
VASP calculation (SCAN) on a PBEsol-optimized structure of Na3HgSe.

CIF file:
```
data_Na3HgSe
_chemical_formula_sum 'Na3 Hg1 Se1'
_cell_length_a 5.435
_cell_length_b 5.435
_cell_length_c 5.435
_cell_angle_alpha 90.00
_cell_angle_beta 90.00
_cell_angle_gamma 90.00
_symmetry_space_group_name_H-M 'P m -3 m'
_symmetry_Int_Tables_number 221
_symmetry_space_group_name_Hall '-P 4 2 3'
loop_
_atom_site_label
_atom_site_type_symbol
_atom_site_fract_x
_atom_site_fract_y
_atom_site_fract_z
Na1 Na 0.000 0.000 0.500
Hg1 Hg 0.000 0.000 0.000
Se1 Se 0.500 0.500 0.500
```

Values from the calculation:
DFT total energy = -101.70 eV per cell
size of the total moment = 0.001 μB/f.u.

=====

Entry 12:
VASP calculation (SCAN) on a PBEsol-optimized structure of NaHg3Se.

CIF file:
```
data_NaHg3Se
_chemical_formula_sum 'Na1 Hg3 Se1'
_cell_length_a 5.509
_cell_length_b 5.509
_cell_length_c 5.509
_cell_angle_alpha 90.00
_cell_angle_beta 90.00
_cell_angle_gamma 90.00
_symmetry_space_group_name_H-M 'P m -3 m'
_symmetry_Int_Tables_number 221
_symmetry_space_group_name_Hall '-P 4 2 3'
loop_
_atom_site_label
_atom_site_type_symbol
_atom_site_fract_x
_atom_site_fract_y
_atom_site_fract_z
Na1 Na 0.000 0.000 0.000
Hg1 Hg 0.000 0.500 0.500
Se1 Se 0.500 0.500 0.500
```

Values from the calculation:
DFT total energy = -227.99 eV per cell
size of the total moment = 0.000 μB/f.u.

=====

Entry 13:
VASP calculation (SCAN) on a PBEsol-optimized structure of NaHgSe2.

CIF file:
```
data_NaHgSe2
_chemical_formula_sum 'Na3 Hg3 Se6'
_cell_length_a 3.9743
_cell_length_b 3.9743
_cell_length_c 25.4202
_cell_angle_alpha 90.00
_cell_angle_beta 90.00
_cell_angle_gamma 120.00
_symmetry_space_group_name_H-M 'R -3 m'
_symmetry_Int_Tables_number 166
_symmetry_space_group_name_Hall '-R 3 2"'
loop_
_atom_site_label
_atom_site_type_symbol
_atom_site_fract_x
_atom_site_fract_y
_atom_site_fract_z
Na1 Na 0.0000 0.0000 0.0000
Hg1 Hg 0.0000 0.0000 0.5000
Se1 Se 0.0000 0.0000 0.1066
```

Values from the calculation:
DFT total energy = -339.59 eV per cell
size of the total moment = 0.000 μB/f.u.

=====

Entry 14:
VASP calculation (SCAN) on a PBEsol-optimized structure of NaHg2Se2.

CIF file:
```
data_NaHg2Se2
_chemical_formula_sum 'Na2 Hg4 Se4'
_cell_length_a 4.162
_cell_length_b 4.162
_cell_length_c 14.028
_cell_angle_alpha 90.00
_cell_angle_beta 90.00
_cell_angle_gamma 90.00
_symmetry_space_group_name_H-M 'I 4/m m m'
_symmetry_Int_Tables_number 139
_symmetry_space_group_name_Hall '-I 4 2'
loop_
_atom_site_label
_atom_site_type_symbol
_atom_site_fract_x
_atom_site_fract_y
_atom_site_fract_z
Na1 Na 0.000 0.000 0.000
Hg1 Hg 0.000 0.500 0.250
Se1 Se 0.000 0.000 0.411
```

Values from the calculation:
DFT total energy = -364.50 eV per cell
size of the total moment = 0.000 μB/f.u.